1.
! PrCuRe (PBE, relaxed); values from VASP
&SYSTEM
  ibrav = 0, nat = 3, ntyp = 3
/
ATOMIC_SPECIES
Pr 140.91 Pr.upf
Cu 63.55 Cu.upf
Re 186.21 Re.upf
CELL_PARAMETERS angstrom
1.3781 2.2588 3.8868
-1.2530 4.4799 0.6849
-3.1396 1.0804 3.3293
ATOMIC_POSITIONS crystal
Pr 0.0000 0.0000 0.0000
Cu 0.2500 0.2500 0.2500
Re 0.7500 0.7500 0.7500
! Total magnetic moment ... 2.76 μB per formula unit
! Symmetry ... No. 216
! Formation enthalpy at 0 K ... 1.581 eV/atom

---

2.
! PrScCuS3 (PBE, relaxed); values from VASP
&SYSTEM
  ibrav = 0, nat = 12, ntyp = 4
/
ATOMIC_SPECIES
S 32.06 S.upf
Cu 63.55 Cu.upf
Sc 44.96 Sc.upf
Pr 140.91 Pr.upf
CELL_PARAMETERS angstrom
5.8735 2.9970 -0.3686
-6.3541 0.0626 -1.7993
-2.1636 5.2022 7.8215
ATOMIC_POSITIONS crystal
S 0.9153 0.0847 0.7500
S 0.3625 0.6375 0.0626
Cu 0.5225 0.4775 0.7500
S 0.0847 0.9153 0.2500
Sc 0.0000 0.0000 0.0000
Pr 0.7614 0.2386 0.2500
S 0.6375 0.3625 0.5626
Pr 0.2386 0.7614 0.7500
S 0.3625 0.6375 0.4374
Cu 0.4775 0.5225 0.2500
S 0.6375 0.3625 0.9374
Sc 0.0000 0.0000 0.5000
! Total magnetic moment ... 0.02 μB per formula unit
! Symmetry ... No. 63
! Energy ... -6.062 eV per atom

---

3.
! SrPrCuSe2S (PBE, relaxed); values from VASP
&SYSTEM
  ibrav = 0, nat = 12, ntyp = 5
/
ATOMIC_SPECIES
Cu 63.55 Cu.upf
Se 78.96 Se.upf
Pr 140.91 Pr.upf
S 32.06 S.upf
Sr 87.62 Sr.upf
CELL_PARAMETERS angstrom
2.0539 -6.7778 0.0000
2.0539 6.7778 0.0000
0.0000 0.0000 10.6882
ATOMIC_POSITIONS crystal
Cu 0.9728 0.0272 0.2500
Se 0.1463 0.8537 0.9262
Se 0.8537 0.1463 0.4262
Pr 0.5000 0.5000 0.5000
S 0.4274 0.5726 0.7500
Se 0.1463 0.8537 0.5738
Pr 0.5000 0.5000 0.0000
Cu 0.0272 0.9728 0.7500
S 0.5726 0.4274 0.2500
Se 0.8537 0.1463 0.0738
Sr 0.2375 0.7625 0.2500
Sr 0.7625 0.2375 0.7500
! Total magnetic moment ... 0.00 μB per formula unit
! Symmetry ... No. 63
! Energy ... -5.123 eV per atom

---

4.
! Pr3CuSiS7 (PBE, relaxed); values from VASP
&SYSTEM
  ibrav = 0, nat = 24, ntyp = 4
/
ATOMIC_SPECIES
S 32.06 S.upf
Cu 63.55 Cu.upf
Pr 140.91 Pr.upf
Si 28.09 Si.upf
CELL_PARAMETERS angstrom
10.2436 0.0000 0.0000
-5.1218 8.8711 0.0000
0.0000 0.0000 5.7980
ATOMIC_POSITIONS crystal
S 0.3333 0.6667 0.0287
Cu 0.0000 0.0000 0.2735
S 0.7487 0.8350 0.7631
S 0.8864 0.4107 0.0211
Pr 0.2334 0.8767 0.2496
S 0.8350 0.0863 0.2631
S 0.4107 0.5243 0.5210
Si 0.6667 0.3333 0.1646
S 0.6667 0.3333 0.5287
S 0.2513 0.1650 0.2631
Cu 0.0000 0.0000 0.7735
S 0.4757 0.8865 0.5210
Pr 0.6434 0.7667 0.2496
S 0.5243 0.1135 0.0210
Pr 0.7666 0.1233 0.7496
Pr 0.1233 0.3567 0.2496
Pr 0.8767 0.6433 0.7496
S 0.0863 0.2513 0.7631
Si 0.3333 0.6667 0.6646
Pr 0.3566 0.2333 0.7496
S 0.9137 0.7487 0.2631
S 0.1136 0.5893 0.5211
S 0.5893 0.4757 0.0210
S 0.1650 0.9137 0.7631
! Total magnetic moment ... 0.00 μB per formula unit
! Symmetry ... No. 173
! Energy ... -5.920 eV per atom